Record 1
This record from the Alexandria database describes a relaxed structure of AcPmHoBi. The functional is PBE-GGA.

Cell lengths 5.668, 5.668, 5.668 Å; angles 60.00, 60.00, 60.00 degrees
Atoms (fractional coordinates):
Ho (0.250, 0.250, 0.250)
Ac (0.000, 0.000, 0.000)
Bi (0.500, 0.500, 0.500)
Pm (0.750, 0.750, 0.750)

Calculated values
Size of the total moment, μB per formula unit: 0.00
Calculated density, g/cm³: 9.619
Energy, eV per formula unit: -17.97
Space-group type: F-43m (216)
Formation energy from the elements, eV per atom: -0.16

=====

Record 2
This record from the Alexandria database describes a relaxed structure of Zr2MnCoH. The functional is PBE-GGA.

Cell lengths 4.488, 4.488, 3.335 Å; angles 90.00, 90.00, 90.00 degrees
Atoms (fractional coordinates):
Zr (0.500, 0.000, 0.000)
Zr (0.000, 0.500, 0.000)
Co (0.000, 0.000, 0.500)
H (0.000, 0.000, 0.000)
Mn (0.500, 0.500, 0.500)

Calculated values
Size of the total moment, μB per formula unit: 0.00
Calculated density, g/cm³: 7.349
Energy, eV per formula unit: -37.76
Space-group type: P4/mmm (123)

=====

Record 3
This record from the Alexandria database describes a relaxed structure of SmTm7Mg4. The functional is PBE-GGA.

Cell lengths 5.642, 9.783, 7.297 Å; angles 80.55, 67.26, 73.24 degrees
Atoms (fractional coordinates):
Mg (0.565, 0.216, 0.653)
Mg (0.312, 0.335, 0.041)
Mg (0.688, 0.665, 0.959)
Mg (0.435, 0.784, 0.347)
Tm (0.221, 0.118, 0.440)
Tm (0.944, 0.384, 0.728)
Tm (0.056, 0.616, 0.272)
Tm (0.328, 0.611, 0.733)
Tm (0.779, 0.882, 0.560)
Tm (0.500, 0.000, 0.000)
Tm (0.672, 0.389, 0.267)
Sm (0.000, 0.000, 0.000)

Calculated values
Size of the total moment, μB per formula unit: 0.00
Calculated density, g/cm³: 6.689
Energy, eV per formula unit: -39.42
Space-group type: C2/m (12)
Formation energy from the elements, eV per atom: 0.25